[1]
YHfCoPt2 | Alexandria | PBE | relaxed; density of states at the Fermi level = 5.79 states/eV/cell; E_form = -0.151 eV per atom
1.0
4.8706 0.0000 0.0000
0.0000 4.8706 0.0000
0.0000 0.0000 4.3022
Y Hf Co Pt
1 1 1 2
direct
0.0000 0.0000 0.0000 Y
0.5000 0.5000 0.0000 Hf
0.5000 0.5000 0.5000 Co
0.0000 0.5000 0.5000 Pt
0.5000 0.0000 0.5000 Pt

[2]
UTl2SnCl8 | Alexandria | PBE | relaxed; uncorrected energy = -50.5 eV per formula unit; density of states at the Fermi level = 4.22 states/eV/cell
1.0
6.8763 0.0000 0.0000
-0.2821 7.2546 0.0000
-0.0148 -0.0078 8.7217
U Tl Sn Cl
1 2 1 8
direct
0.0000 0.0000 0.0000 U
0.4989 0.4998 0.7418 Tl
0.5011 0.5002 0.2582 Tl
0.0000 0.0000 0.5000 Sn
0.2056 0.3054 0.0004 Cl
0.2126 0.8683 0.2291 Cl
0.2164 0.8739 0.7716 Cl
0.2468 0.3095 0.4990 Cl
0.7532 0.6905 0.5010 Cl
0.7836 0.1261 0.2284 Cl
0.7874 0.1317 0.7709 Cl
0.7944 0.6946 0.9996 Cl